Here is a relaxed structure of TiMnNO2 from Alexandria. Energies are from PBE with a Hubbard U.

## Properties
SG	P4/mmm, No. 123
DFT total energy	-39.942	eV per cell
total magnetic moment	4.07	μB/f.u.

abc: 3.8326 3.8326 4.0008
angles: 90.00 90.00 90.00
With the nearest neighbours (Å) after each atom.
Fractional positions:
O1 0.5000 0.0000 0.0000  2 Ti 1.92
Ti1 0.0000 0.0000 0.0000  4 O 1.92, 2 N 2.00
Mn1 0.5000 0.5000 0.5000  4 N 2.71, 8 O 2.77
N1 0.0000 0.0000 0.5000  2 Ti 2.00
O2 0.0000 0.5000 0.0000  2 Ti 1.92